Here is a relaxed LiPuRh crystal from Alexandria via LeMat-Bulk. Energies are from GGA-PBE.

Structure (CIF):
```
data_LiPuRh
_cell_length_a 4.517
_cell_length_b 4.517
_cell_length_c 3.075
_cell_angle_alpha 90.00
_cell_angle_beta 90.00
_cell_angle_gamma 120.00
_symmetry_space_group_name_H-M 'P 1'
_symmetry_Int_Tables_number 1
loop_
_symmetry_equiv_pos_as_xyz
'x,y,z'
loop_
_atom_site_label
_atom_site_type_symbol
_atom_site_fract_x
_atom_site_fract_y
_atom_site_fract_z
Li1 Li 0.000 0.000 0.000
Pu1 Pu 0.333 0.667 0.533
Rh1 Rh 0.667 0.333 0.116
```

**DOS at the Fermi energy**: 7.43 states/eV/f.u.
**V**: 18.1 Å³/atom
**Excess energy over the best structure of this formula in the dataset**: 0.182 eV/atom
**Uncorrected energy**: -8.02 eV/atom
**Formation enthalpy at 0 K**: -0.1498 eV per atom